(1)
Density functional theory data (meta-GGA SCAN) for PbAuCl2 at its PBEsol-relaxed geometry.

The structure in CIF format:
```
data_PbAuCl2
_chemical_formula_sum 'Pb4 Au4 Cl8'
_symmetry_space_group_name_H-M 'P 1'
_symmetry_Int_Tables_number 1
_cell_length_a 7.0617
_cell_length_b 7.0617
_cell_length_c 7.0617
_cell_angle_alpha 90.00
_cell_angle_beta 90.00
_cell_angle_gamma 90.00
loop_
_symmetry_equiv_pos_as_xyz
'x,y,z'
loop_
_atom_site_label
_atom_site_type_symbol
_atom_site_fract_x
_atom_site_fract_y
_atom_site_fract_z
_atom_site_occupancy
Pb1 Pb 0.0000 0.0000 0.0000 1
Pb2 Pb 0.0000 0.5000 0.5000 1
Pb3 Pb 0.5000 0.0000 0.5000 1
Pb4 Pb 0.5000 0.5000 0.0000 1
Au1 Au 0.0000 0.0000 0.5000 1
Au2 Au 0.0000 0.5000 0.0000 1
Au3 Au 0.5000 0.0000 0.0000 1
Au4 Au 0.5000 0.5000 0.5000 1
Cl1 Cl 0.2500 0.2500 0.2500 1
Cl2 Cl 0.2500 0.2500 0.7500 1
Cl3 Cl 0.2500 0.7500 0.2500 1
Cl4 Cl 0.2500 0.7500 0.7500 1
Cl5 Cl 0.7500 0.2500 0.2500 1
Cl6 Cl 0.7500 0.2500 0.7500 1
Cl7 Cl 0.7500 0.7500 0.2500 1
Cl8 Cl 0.7500 0.7500 0.7500 1
```

Calculated values
D(E_F): 0.4465 states/eV/atom
Crystal system: cubic
Total moment: 0.000 μB/atom
Symmetry: Fm-3m (225)
Polymorph energy (0 for the lowest one): 23.3 meV/atom
E_form (uncorrected): -279 meV/atom
Mass density: 8.961 g/cm3

***

(2)
Density functional theory data (meta-GGA SCAN) for PbAu2Cl at its PBEsol-relaxed geometry.

The structure in CIF format:
```
data_PbAu2Cl
_chemical_formula_sum 'Pb2 Au4 Cl2'
_symmetry_space_group_name_H-M 'P 1'
_symmetry_Int_Tables_number 1
_cell_length_a 3.9776
_cell_length_b 3.9776
_cell_length_c 10.8387
_cell_angle_alpha 90.00
_cell_angle_beta 90.00
_cell_angle_gamma 90.00
loop_
_symmetry_equiv_pos_as_xyz
'x,y,z'
loop_
_atom_site_label
_atom_site_type_symbol
_atom_site_fract_x
_atom_site_fract_y
_atom_site_fract_z
_atom_site_occupancy
Pb1 Pb 0.0000 0.0000 0.0000 1
Pb2 Pb 0.5000 0.5000 0.5000 1
Au1 Au 0.0000 0.5000 0.2500 1
Au2 Au 0.0000 0.5000 0.7500 1
Au3 Au 0.5000 0.0000 0.2500 1
Au4 Au 0.5000 0.0000 0.7500 1
Cl1 Cl 0.0000 0.0000 0.5000 1
Cl2 Cl 0.5000 0.5000 0.0000 1
```

Calculated values
D(E_F): 0.2183 states/eV/atom
Crystal system: tetragonal
Total moment: 0.000 μB/atom
Symmetry: I4/mmm (139)
Polymorph energy (0 for the lowest one): 174.9 meV/atom
E_form (uncorrected): -142 meV/atom
Mass density: 12.328 g/cm3

***

(3)
Density functional theory data (meta-GGA SCAN) for PbAuCl2 at its PBEsol-relaxed geometry.

The structure in CIF format:
```
data_PbAuCl2
_chemical_formula_sum 'Pb1 Au1 Cl2'
_symmetry_space_group_name_H-M 'P 1'
_symmetry_Int_Tables_number 1
_cell_length_a 3.4961
_cell_length_b 3.4961
_cell_length_c 7.5766
_cell_angle_alpha 90.00
_cell_angle_beta 90.00
_cell_angle_gamma 90.00
loop_
_symmetry_equiv_pos_as_xyz
'x,y,z'
loop_
_atom_site_label
_atom_site_type_symbol
_atom_site_fract_x
_atom_site_fract_y
_atom_site_fract_z
_atom_site_occupancy
Pb1 Pb 0.0000 0.0000 0.0000 1
Au1 Au 0.5000 0.5000 0.2364 1
Cl1 Cl 0.0000 0.0000 0.4117 1
Cl2 Cl 0.5000 0.5000 0.7711 1
```

Calculated values
D(E_F): 0.5052 states/eV/atom
Crystal system: tetragonal
Total moment: 0.000 μB/atom
Symmetry: P4mm (99)
Polymorph energy (0 for the lowest one): 0.0 meV/atom
E_form (uncorrected): -302 meV/atom
Mass density: 8.519 g/cm3

***

(4)
Density functional theory data (meta-GGA SCAN) for PbAuCl2 at its PBEsol-relaxed geometry.

The structure in CIF format:
```
data_PbAuCl2
_chemical_formula_sum 'Pb1 Au1 Cl2'
_symmetry_space_group_name_H-M 'P 1'
_symmetry_Int_Tables_number 1
_cell_length_a 3.8438
_cell_length_b 4.2503
_cell_length_c 5.4072
_cell_angle_alpha 90.00
_cell_angle_beta 90.00
_cell_angle_gamma 90.00
loop_
_symmetry_equiv_pos_as_xyz
'x,y,z'
loop_
_atom_site_label
_atom_site_type_symbol
_atom_site_fract_x
_atom_site_fract_y
_atom_site_fract_z
_atom_site_occupancy
Pb1 Pb 0.0000 0.0000 0.0000 1
Au1 Au 0.5000 0.0000 0.5000 1
Cl1 Cl 0.0000 0.5000 0.5000 1
Cl2 Cl 0.5000 0.5000 0.0000 1
```

Calculated values
D(E_F): 0.3442 states/eV/atom
Crystal system: orthorhombic
Total moment: 0.000 μB/atom
Symmetry: Pmmm (47)
Polymorph energy (0 for the lowest one): 58.9 meV/atom
E_form (uncorrected): -244 meV/atom
Mass density: 8.930 g/cm3

***

(5)
Density functional theory data (meta-GGA SCAN) for PbAu2Cl at its PBEsol-relaxed geometry.

The structure in CIF format:
```
data_PbAu2Cl
_chemical_formula_sum 'Pb4 Au8 Cl4'
_symmetry_space_group_name_H-M 'P 1'
_symmetry_Int_Tables_number 1
_cell_length_a 6.9577
_cell_length_b 6.9577
_cell_length_c 6.9577
_cell_angle_alpha 90.00
_cell_angle_beta 90.00
_cell_angle_gamma 90.00
loop_
_symmetry_equiv_pos_as_xyz
'x,y,z'
loop_
_atom_site_label
_atom_site_type_symbol
_atom_site_fract_x
_atom_site_fract_y
_atom_site_fract_z
_atom_site_occupancy
Pb1 Pb 0.0000 0.0000 0.0000 1
Pb2 Pb 0.0000 0.5000 0.5000 1
Pb3 Pb 0.5000 0.0000 0.5000 1
Pb4 Pb 0.5000 0.5000 0.0000 1
Au1 Au 0.0000 0.0000 0.5000 1
Au2 Au 0.0000 0.5000 0.0000 1
Au3 Au 0.2500 0.2500 0.7500 1
Au4 Au 0.2500 0.7500 0.2500 1
Au5 Au 0.5000 0.0000 0.0000 1
Au6 Au 0.5000 0.5000 0.5000 1
Au7 Au 0.7500 0.2500 0.2500 1
Au8 Au 0.7500 0.7500 0.7500 1
Cl1 Cl 0.2500 0.2500 0.2500 1
Cl2 Cl 0.2500 0.7500 0.7500 1
Cl3 Cl 0.7500 0.2500 0.7500 1
Cl4 Cl 0.7500 0.7500 0.2500 1
```

Calculated values
D(E_F): 0.4262 states/eV/atom
Crystal system: cubic
Total moment: 0.000 μB/atom
Symmetry: F-43m (216)
Polymorph energy (0 for the lowest one): 335.0 meV/atom
E_form (uncorrected): 18 meV/atom
Mass density: 12.554 g/cm3

***

(6)
Density functional theory data (meta-GGA SCAN) for PbAu2Cl at its PBEsol-relaxed geometry.

The structure in CIF format:
```
data_PbAu2Cl
_chemical_formula_sum 'Pb1 Au2 Cl1'
_symmetry_space_group_name_H-M 'P 1'
_symmetry_Int_Tables_number 1
_cell_length_a 3.9064
_cell_length_b 3.7921
_cell_length_c 6.6736
_cell_angle_alpha 90.00
_cell_angle_beta 106.77
_cell_angle_gamma 90.00
loop_
_symmetry_equiv_pos_as_xyz
'x,y,z'
loop_
_atom_site_label
_atom_site_type_symbol
_atom_site_fract_x
_atom_site_fract_y
_atom_site_fract_z
_atom_site_occupancy
Pb1 Pb 0.0000 0.0000 0.0000 1
Au1 Au 0.3263 0.0000 0.6471 1
Au2 Au 0.8223 0.5000 0.6387 1
Cl1 Cl 0.5999 0.5000 0.2030 1
```

Calculated values
D(E_F): 0.1689 states/eV/atom
Crystal system: monoclinic
Total moment: 0.000 μB/atom
Symmetry: Pm (6)
Polymorph energy (0 for the lowest one): 0.0 meV/atom
E_form (uncorrected): -317 meV/atom
Mass density: 11.168 g/cm3

***

(7)
Density functional theory data (meta-GGA SCAN) for TaPbAuCl2 at its PBEsol-relaxed geometry.

The structure in CIF format:
```
data_TaPbAuCl2
_chemical_formula_sum 'Ta1 Pb1 Au1 Cl2'
_symmetry_space_group_name_H-M 'P 1'
_symmetry_Int_Tables_number 1
_cell_length_a 5.1061
_cell_length_b 5.1061
_cell_length_c 5.7974
_cell_angle_alpha 90.00
_cell_angle_beta 90.00
_cell_angle_gamma 90.00
loop_
_symmetry_equiv_pos_as_xyz
'x,y,z'
loop_
_atom_site_label
_atom_site_type_symbol
_atom_site_fract_x
_atom_site_fract_y
_atom_site_fract_z
_atom_site_occupancy
Ta1 Ta 0.0000 0.0000 0.0000 1
Pb1 Pb 0.0000 0.0000 0.5000 1
Au1 Au 0.5000 0.5000 0.0000 1
Cl1 Cl 0.0000 0.5000 0.5000 1
Cl2 Cl 0.5000 0.0000 0.5000 1
```

Calculated values
D(E_F): 1.0624 states/eV/atom
Crystal system: tetragonal
Total moment: 0.582 μB/atom
Symmetry: P4/mmm (123)
E_form (uncorrected): 1066 meV/atom
Mass density: 7.207 g/cm3

***

(8)
Density functional theory data (meta-GGA SCAN) for Rb2PdAuCl at its PBEsol-relaxed geometry.

The structure in CIF format:
```
data_Rb2PdAuCl
_chemical_formula_sum 'Rb2 Pd1 Au1 Cl1'
_symmetry_space_group_name_H-M 'P 1'
_symmetry_Int_Tables_number 1
_cell_length_a 6.4489
_cell_length_b 6.4489
_cell_length_c 4.7106
_cell_angle_alpha 90.00
_cell_angle_beta 90.00
_cell_angle_gamma 90.00
loop_
_symmetry_equiv_pos_as_xyz
'x,y,z'
loop_
_atom_site_label
_atom_site_type_symbol
_atom_site_fract_x
_atom_site_fract_y
_atom_site_fract_z
_atom_site_occupancy
Rb1 Rb 0.0000 0.5000 0.0000 1
Rb2 Rb 0.5000 0.0000 0.0000 1
Pd1 Pd 0.0000 0.0000 0.5000 1
Au1 Au 0.5000 0.5000 0.0000 1
Cl1 Cl 0.5000 0.5000 0.5000 1
```

Calculated values
D(E_F): 0.7862 states/eV/atom
Crystal system: tetragonal
Total moment: 0.035 μB/atom
Symmetry: P4/mmm (123)
E_form (uncorrected): 19 meV/atom
Mass density: 4.321 g/cm3